Compound: TbNd2Y6Th3
Source: Alexandria via LeMat-Bulk
Functional: GGA-PBE
Structure: optimized geometry

a = 6.235 Å, b = 6.235 Å, c = 11.800 Å
α = 95.07°, β = 95.07°, γ = 120.00°
Element x y z (fractional)
Tb 0.000 0.000 0.000
Nd 0.334 0.666 0.000
Nd 0.666 0.334 0.000
Y 0.085 0.418 0.256
Y 0.248 0.248 0.744
Y 0.418 0.085 0.256
Y 0.582 0.915 0.744
Y 0.752 0.752 0.256
Y 0.915 0.582 0.744
Th 0.167 0.833 0.500
Th 0.500 0.500 0.500
Th 0.833 0.167 0.500

Values from the calculation:
**V**: 32.6 Å³/atom
**Calculated total energy**: -6.249 eV per atom